# BeCl PBE relaxed
data_BeCl
_chemical_formula_sum 'Be4 Cl4'
_cell_length_a 4.807
_cell_length_b 3.091
_cell_length_c 10.261
_cell_angle_alpha 90.00
_cell_angle_beta 106.38
_cell_angle_gamma 90.00
_symmetry_space_group_name_H-M 'P 1'
_symmetry_Int_Tables_number 1
loop_
_symmetry_equiv_pos_as_xyz
'x,y,z'
loop_
_atom_site_label
_atom_site_type_symbol
_atom_site_fract_x
_atom_site_fract_y
_atom_site_fract_z
Be1 Be 0.240 0.000 0.239
Be2 Be 0.240 0.500 0.739
Be3 Be 0.006 0.000 0.857
Be4 Be 0.006 0.500 0.357
Cl1 Cl 0.698 0.000 0.360
Cl2 Cl 0.698 0.500 0.860
Cl3 Cl 0.283 0.000 0.051
Cl4 Cl 0.283 0.500 0.551
# Total magnetization ... 0.0 μB per formula unit
# Symmetry ... No. 8
# Energy relative to the elements, uncorrected ... -0.9 eV/f.u.


# BeCl PBE relaxed
data_BeCl
_chemical_formula_sum 'Be2 Cl2'
_cell_length_a 3.660
_cell_length_b 3.660
_cell_length_c 8.763
_cell_angle_alpha 90.00
_cell_angle_beta 90.00
_cell_angle_gamma 131.88
_symmetry_space_group_name_H-M 'P 1'
_symmetry_Int_Tables_number 1
loop_
_symmetry_equiv_pos_as_xyz
'x,y,z'
loop_
_atom_site_label
_atom_site_type_symbol
_atom_site_fract_x
_atom_site_fract_y
_atom_site_fract_z
Be1 Be 0.000 0.000 0.990
Be2 Be 0.500 0.500 0.760
Cl1 Cl 0.000 0.000 0.603
Cl2 Cl 0.500 0.500 0.147
# Total magnetization ... 0.0 μB per formula unit
# Symmetry ... No. 67
# Energy relative to the elements, uncorrected ... -0.8 eV/f.u.


# BeCl PBE relaxed
data_BeCl
_chemical_formula_sum 'Be6 Cl6'
_cell_length_a 10.128
_cell_length_b 10.128
_cell_length_c 3.188
_cell_angle_alpha 90.00
_cell_angle_beta 90.00
_cell_angle_gamma 120.00
_symmetry_space_group_name_H-M 'P 1'
_symmetry_Int_Tables_number 1
loop_
_symmetry_equiv_pos_as_xyz
'x,y,z'
loop_
_atom_site_label
_atom_site_type_symbol
_atom_site_fract_x
_atom_site_fract_y
_atom_site_fract_z
Be1 Be 0.551 0.102 0.250
Be2 Be 0.449 0.551 0.750
Be3 Be 0.898 0.449 0.250
Be4 Be 0.449 0.898 0.750
Be5 Be 0.551 0.449 0.250
Be6 Be 0.102 0.551 0.750
Cl1 Cl 0.779 0.559 0.250
Cl2 Cl 0.221 0.779 0.750
Cl3 Cl 0.441 0.221 0.250
Cl4 Cl 0.221 0.441 0.750
Cl5 Cl 0.779 0.221 0.250
Cl6 Cl 0.559 0.779 0.750
# Total magnetization ... 0.0 μB per formula unit
# Symmetry ... No. 194
# Energy relative to the elements, uncorrected ... -1.1 eV/f.u.


# Be5Cl4 PBE relaxed
data_Be5Cl4
_chemical_formula_sum 'Be10 Cl8'
_cell_length_a 8.928
_cell_length_b 8.928
_cell_length_c 4.955
_cell_angle_alpha 90.00
_cell_angle_beta 90.00
_cell_angle_gamma 120.00
_symmetry_space_group_name_H-M 'P 1'
_symmetry_Int_Tables_number 1
loop_
_symmetry_equiv_pos_as_xyz
'x,y,z'
loop_
_atom_site_label
_atom_site_type_symbol
_atom_site_fract_x
_atom_site_fract_y
_atom_site_fract_z
Be1 Be 0.000 0.783 0.250
Be2 Be 0.217 0.217 0.250
Be3 Be 0.783 0.000 0.250
Be4 Be 0.000 0.217 0.750
Be5 Be 0.783 0.783 0.750
Be6 Be 0.217 0.000 0.750
Be7 Be 0.667 0.333 0.000
Be8 Be 0.333 0.667 0.500
Be9 Be 0.333 0.667 0.000
Be10 Be 0.667 0.333 0.500
Cl1 Cl 0.000 0.000 0.000
Cl2 Cl 0.000 0.000 0.500
Cl3 Cl 0.000 0.307 0.250
Cl4 Cl 0.693 0.693 0.250
Cl5 Cl 0.307 0.000 0.250
Cl6 Cl 0.000 0.693 0.750
Cl7 Cl 0.307 0.307 0.750
Cl8 Cl 0.693 0.000 0.750
# Total magnetization ... 0.0 μB per formula unit
# Symmetry ... No. 193
# Energy relative to the elements, uncorrected ... 5.8 eV/f.u.


# Be3Cl PBE relaxed
data_Be3Cl
_chemical_formula_sum 'Be3 Cl1'
_cell_length_a 5.616
_cell_length_b 5.616
_cell_length_c 5.616
_cell_angle_alpha 152.80
_cell_angle_beta 140.92
_cell_angle_gamma 48.26
_symmetry_space_group_name_H-M 'P 1'
_symmetry_Int_Tables_number 1
loop_
_symmetry_equiv_pos_as_xyz
'x,y,z'
loop_
_atom_site_label
_atom_site_type_symbol
_atom_site_fract_x
_atom_site_fract_y
_atom_site_fract_z
Be1 Be 0.205 0.205 0.000
Be2 Be 0.795 0.795 0.000
Be3 Be 0.000 0.500 0.500
Cl1 Cl 0.500 0.000 0.500
# Total magnetization ... 0.0 μB per formula unit
# Symmetry ... No. 71
# Energy relative to the elements, uncorrected ... 2.8 eV/f.u.


# BeCl PBE relaxed
data_BeCl
_chemical_formula_sum 'Be2 Cl2'
_cell_length_a 3.050
_cell_length_b 4.153
_cell_length_c 5.403
_cell_angle_alpha 90.00
_cell_angle_beta 90.00
_cell_angle_gamma 90.00
_symmetry_space_group_name_H-M 'P 1'
_symmetry_Int_Tables_number 1
loop_
_symmetry_equiv_pos_as_xyz
'x,y,z'
loop_
_atom_site_label
_atom_site_type_symbol
_atom_site_fract_x
_atom_site_fract_y
_atom_site_fract_z
Be1 Be 0.000 0.000 0.563
Be2 Be 0.000 0.500 0.063
Cl1 Cl 0.000 0.000 0.188
Cl2 Cl 0.000 0.500 0.688
# Total magnetization ... 0.0 μB per formula unit
# Symmetry ... No. 38
# Energy relative to the elements, uncorrected ... 0.3 eV/f.u.